<w>
Density functional theory data (PBE-GGA) for YAlI3 after structural relaxation.

Summary:
As for the symmetry: No. 221. The calculation puts the total magnetization at 0.1772 μB per atom. The density of states at the Fermi level comes out at 0.876 states/eV/atom.

Structure (extended XYZ):
```
5
Lattice="-1.9230 5.6316 0.9009 -0.5723 -1.1365 5.8827 5.6745 1.7938 0.8986" Properties=species:S:1:pos:R:3 pbc="T T T"
I -0.2861 -0.5682 2.9413
I -0.9615 2.8158 0.4505
Al 1.5896 3.1445 3.8411
Y 0.0000 0.0000 0.0000
I 2.8372 0.8969 0.4493
```



<x>
Density functional theory data (PBE-GGA) for YAlI3 after structural relaxation.

Summary:
As for the symmetry: No. 221. The calculation puts the total magnetization at 0.2205 μB per atom. The density of states at the Fermi level comes out at 1.431 states/eV/atom.

Structure (extended XYZ):
```
5
Lattice="-3.1660 3.7613 2.7436 0.0544 -3.2878 4.5701 4.6553 2.5964 1.8125" Properties=species:S:1:pos:R:3 pbc="T T T"
I -1.5830 1.8806 1.3718
I 2.3276 1.2982 0.9063
I 0.0272 -1.6439 2.2850
Y 0.7718 1.5350 4.5631
Al 0.0000 0.0000 0.0000
```



Stability comparison, relative energies in kJ/mol of atoms: <w> 0.0; <x> 40.8



<w>
Density functional theory data (PBE-GGA) for AlZn2I after structural relaxation.

Summary:
As for the symmetry: No. 225. The calculation puts the total magnetization at 0.0000 μB per atom. The density of states at the Fermi level comes out at 0.325 states/eV/atom.

Structure (extended XYZ):
```
4
Lattice="2.8238 -2.4859 3.5405 0.3842 1.8927 4.7916 -2.3274 -2.4188 3.9271" Properties=species:S:1:pos:R:3 pbc="T T T"
Zn 0.6605 -2.2590 9.1944
Al 0.0000 0.0000 0.0000
I 0.4403 -1.5060 6.1296
Zn 0.2202 -0.7530 3.0648
```



<x>
Density functional theory data (PBE-GGA) for AlZn2I after structural relaxation.

Summary:
As for the symmetry: No. 122. The calculation puts the total magnetization at 0.0000 μB per atom. The density of states at the Fermi level comes out at 0.221 states/eV/atom.

Structure (extended XYZ):
```
8
Lattice="-1.1022 -1.2583 6.3854 -0.8091 -6.3995 -1.4007 4.6142 -4.7057 3.2810" Properties=species:S:1:pos:R:3 pbc="T T T"
Zn 0.4564 -5.3948 1.0544
Al 1.4248 -7.4671 2.1863
Zn 1.8278 -9.9177 6.8906
Zn 0.4173 -2.7014 4.3246
I 1.2782 -4.8964 6.0793
Zn 2.7045 -6.7130 4.2617
I 0.0000 0.0000 0.0000
Al -0.9556 -3.8289 2.4923
```



Stability comparison, relative energies in kJ/mol of atoms: <w> 25.6; <x> 0.0



<w>
Density functional theory data (PBE-GGA) for Al2ZnI after structural relaxation.

Summary:
As for the symmetry: No. 122. The calculation puts the total magnetization at 0.0000 μB per atom. The density of states at the Fermi level comes out at 0.815 states/eV/atom.

Structure (extended XYZ):
```
8
Lattice="-3.7515 -4.2457 2.2800 4.7912 -3.5966 1.1862 1.0836 -1.1820 7.7615" Properties=species:S:1:pos:R:3 pbc="T T T"
Al -1.1483 -3.0289 3.3151
Al 1.3052 -7.4353 8.7507
I -1.0741 -4.6744 5.8873
Zn 0.5198 -3.9211 1.7331
Al 2.4698 -3.4437 3.1652
I 0.0000 0.0000 0.0000
Al 1.6197 -4.1405 7.2242
Zn 3.1973 -4.3498 5.3404
```



<x>
Density functional theory data (PBE-GGA) for Al2ZnI after structural relaxation.

Summary:
As for the symmetry: No. 225. The calculation puts the total magnetization at 0.0000 μB per atom. The density of states at the Fermi level comes out at 0.888 states/eV/atom.

Structure (extended XYZ):
```
4
Lattice="0.0000 3.6411 3.6411 3.6411 0.0000 3.6411 3.6411 3.6411 0.0000" Properties=species:S:1:pos:R:3 pbc="T T T"
I 3.6411 3.6411 3.6411
Al 5.4617 5.4617 5.4617
Al 1.8206 1.8206 1.8206
Zn 0.0000 0.0000 0.0000
```



Stability comparison, relative energies in kJ/mol of atoms: <w> 0.0; <x> 16.5



<w>
Density functional theory data (PBE-GGA) for AlZn3I after structural relaxation.

Summary:
As for the symmetry: No. 221. The calculation puts the total magnetization at 0.0000 μB per atom. The density of states at the Fermi level comes out at 0.184 states/eV/atom.

Structure (extended XYZ):
```
5
Lattice="5.0527 0.0000 0.0000 0.0000 5.0527 0.0000 0.0000 0.0000 5.0527" Properties=species:S:1:pos:R:3 pbc="T T T"
Zn 2.5264 0.0000 0.0000
I 2.5264 2.5264 2.5264
Al 0.0000 0.0000 0.0000
Zn 0.0000 2.5264 0.0000
Zn 0.0000 0.0000 2.5264
```



<x>
Density functional theory data (PBE-GGA) for AlZn3I after structural relaxation.

Summary:
As for the symmetry: No. 221. The calculation puts the total magnetization at 0.0000 μB per atom. The density of states at the Fermi level comes out at 0.444 states/eV/atom.

Structure (extended XYZ):
```
5
Lattice="-4.2259 3.3035 -1.2549 -2.2902 -1.0704 4.8945 2.6913 4.2764 2.1946" Properties=species:S:1:pos:R:3 pbc="T T T"
Zn -2.1130 1.6518 -0.6275
Al -1.9125 3.2547 2.9170
I 0.0000 0.0000 0.0000
Zn 1.3456 2.1382 1.0973
Zn -1.1451 -0.5352 2.4472
```



Stability comparison, relative energies in kJ/mol of atoms: <w> 0.0; <x> 76.3